(1)
## LaAl2BiH (PBE-GGA)

Data for crystalline LaAl2BiH at its relaxed geometry.

a b c (Å): 5.443 6.319 5.443
angles (deg): 90.00 90.00 90.00
Fractional positions:
H 0.500 0.500 0.500
Al 0.000 0.000 0.500
Al 0.500 0.000 0.000
La 0.000 0.500 0.000
Bi 0.000 0.000 0.000

Properties
Crystal system: tetragonal
VASP energy: -2.943 eV/atom
SG: No. 123


(2)
## MnAlBiH2 (PBE-GGA)

Data for crystalline MnAlBiH2 at its relaxed geometry.

a b c (Å): 3.741 5.739 3.741
angles (deg): 90.00 90.00 90.00
Fractional positions:
H 0.000 0.000 0.500
H 0.500 0.000 0.000
Mn 0.000 0.500 0.000
Bi 0.500 0.500 0.500
Al 0.000 0.000 0.000

Properties
Crystal system: tetragonal
VASP energy: -4.243 eV/atom
SG: No. 123


(3)
## Na2AlBiH (PBE-GGA)

Data for crystalline Na2AlBiH at its relaxed geometry.

a b c (Å): 4.506 4.506 4.996
angles (deg): 90.00 90.00 90.00
Fractional positions:
H 0.000 0.000 0.000
Na 0.500 0.000 0.000
Na 0.000 0.500 0.000
Al 0.000 0.000 0.500
Bi 0.500 0.500 0.500

Properties
Crystal system: tetragonal
VASP energy: -2.789 eV/atom
SG: No. 123


(4)
## NaAlBi2H (PBE-GGA)

Data for crystalline NaAlBi2H at its relaxed geometry.

a b c (Å): 5.895 5.895 3.404
angles (deg): 90.00 90.00 90.00
Fractional positions:
Bi 0.500 0.000 0.000
Bi 0.000 0.500 0.000
Na 0.500 0.500 0.500
Al 0.000 0.000 0.000
H 0.000 0.000 0.500

Properties
Crystal system: tetragonal
VASP energy: -3.229 eV/atom
SG: No. 123


(5)
## AlBi2HPb (PBE-GGA)

Data for crystalline AlBi2HPb at its relaxed geometry.

a b c (Å): 5.987 5.987 3.437
angles (deg): 90.00 90.00 90.00
Fractional positions:
Al 0.000 0.000 0.000
Bi 0.500 0.000 0.000
Bi 0.000 0.500 0.000
Pb 0.500 0.500 0.500
H 0.000 0.000 0.500

Properties
Crystal system: tetragonal
VASP energy: -3.615 eV/atom
SG: No. 123


(6)
## AlBiHPd2 (PBE-GGA)

Data for crystalline AlBiHPd2 at its relaxed geometry.

a b c (Å): 4.938 3.446 4.938
angles (deg): 90.00 90.00 90.00
Fractional positions:
Pd 0.500 0.000 0.000
Pd 0.000 0.000 0.500
Bi 0.500 0.500 0.500
H 0.000 0.500 0.000
Al 0.000 0.000 0.000

Properties
Crystal system: tetragonal
VASP energy: -4.330 eV/atom
SG: No. 123


(7)
## AlBiHPd2 (PBE-GGA)

Data for crystalline AlBiHPd2 at its relaxed geometry.

a b c (Å): 4.172 4.533 4.172
angles (deg): 90.00 90.00 90.00
Fractional positions:
Bi 0.000 0.500 0.000
Pd 0.500 0.000 0.000
Pd 0.000 0.000 0.500
H 0.000 0.000 0.000
Al 0.500 0.500 0.500

Properties
Crystal system: tetragonal
VASP energy: -4.252 eV/atom
SG: No. 123


(8)
## AlReBi2H (PBE-GGA)

Data for crystalline AlReBi2H at its relaxed geometry.

a b c (Å): 5.145 3.541 5.145
angles (deg): 90.00 90.00 90.00
Fractional positions:
H 0.000 0.000 0.000
Bi 0.500 0.000 0.000
Bi 0.000 0.000 0.500
Re 0.000 0.500 0.000
Al 0.500 0.500 0.500

Properties
Crystal system: tetragonal
VASP energy: -4.739 eV/atom
SG: No. 123


(9)
## AlSn2BiH (PBE-GGA)

Data for crystalline AlSn2BiH at its relaxed geometry.

a b c (Å): 5.743 5.743 3.447
angles (deg): 90.00 90.00 90.00
Fractional positions:
Sn 0.500 0.000 0.000
Sn 0.000 0.500 0.000
H 0.000 0.000 0.500
Al 0.000 0.000 0.000
Bi 0.500 0.500 0.500

Properties
Crystal system: tetragonal
VASP energy: -3.677 eV/atom
SG: No. 123


(10)
## TaAlBiH2 (PBE-GGA)

Data for crystalline TaAlBiH2 at its relaxed geometry.

a b c (Å): 3.901 6.164 3.901
angles (deg): 90.00 90.00 90.00
Fractional positions:
H 0.500 0.000 0.000
H 0.000 0.000 0.500
Al 0.000 0.500 0.000
Bi 0.000 0.000 0.000
Ta 0.500 0.500 0.500

Properties
Crystal system: tetragonal
VASP energy: -4.199 eV/atom
SG: No. 123


(11)
## Zr7AlBi2H2 (PBE-GGA)

Data for crystalline Zr7AlBi2H2 at its relaxed geometry.

a b c (Å): 4.309 4.309 13.071
angles (deg): 78.69 78.69 89.82
Fractional positions:
Zr 0.500 0.500 0.000
Zr 0.895 0.394 0.178
Zr 0.745 0.745 0.595
Zr 0.394 0.895 0.178
Zr 0.255 0.255 0.405
Zr 0.105 0.606 0.822
Zr 0.606 0.105 0.822
Bi 0.786 0.786 0.361
Bi 0.214 0.214 0.639
H 0.401 0.401 0.167
H 0.599 0.599 0.833
Al 0.000 0.000 0.000

Properties
Crystal system: monoclinic
VASP energy: -6.899 eV/atom
SG: No. 12


(12)
## Hf5AlBi (PBE-GGA)

Data for crystalline Hf5AlBi at its relaxed geometry.

a b c (Å): 6.723 6.723 11.451
angles (deg): 53.28 53.28 70.46
Fractional positions:
Hf 0.359 0.287 0.931
Hf 0.201 0.799 0.750
Hf 0.287 0.359 0.431
Hf 0.641 0.713 0.069
Hf 0.799 0.201 0.250
Hf 0.767 0.496 0.872
Hf 0.233 0.504 0.128
Hf 0.496 0.767 0.372
Hf 0.713 0.641 0.569
Hf 0.504 0.233 0.628
Bi 0.000 0.000 0.500
Bi 0.000 0.000 0.000
Al 0.842 0.158 0.750
Al 0.158 0.842 0.250

Properties
Crystal system: monoclinic
Formation enthalpy at 0 K: 0.189 eV/atom
SG: No. 15


Number 1: total magnetic moment 0.0020 μB per atom. Number 2: total magnetic moment 0.5891 μB per atom. Number 3: total magnetic moment 0.0000 μB per atom. Number 4: total magnetic moment 0.0000 μB per atom. Number 5: total magnetic moment 0.0000 μB per atom. Number 6: total magnetic moment 0.0000 μB per atom. Number 7: total magnetic moment 0.0000 μB per atom. Number 8: total magnetic moment 0.0000 μB per atom. Number 9: total magnetic moment 0.0000 μB per atom. Number 10: total magnetic moment 0.2484 μB per atom. Number 11: total magnetic moment 0.0000 μB per atom. Number 12: total magnetic moment 0.0000 μB per atom.